Below is an optimized crystal structure of BaNaSmWO6, with properties calculated at the GGA+U level.

Unit cell a=6.0211 b=6.0211 c=6.0211 alpha=60.00 beta=60.00 gamma=60.00
Atoms (fractional coordinates):
O (0.2703, 0.7297, 0.2703)
Ba (0.7500, 0.7500, 0.7500)
O (0.2703, 0.7297, 0.7297)
Sm (0.0000, 0.0000, 0.0000)
W (0.5000, 0.5000, 0.5000)
O (0.7297, 0.7297, 0.2703)
O (0.7297, 0.2703, 0.2703)
Na (0.2500, 0.2500, 0.2500)
O (0.2703, 0.2703, 0.7297)
O (0.7297, 0.2703, 0.7297)

Results
The total energy is -7.08 eV/atom. Its symmetry is F-43m, No. 216. The crystal system is cubic.